An optimized crystal structure of TlBiSb2I. Source: Alexandria via LeMat-Bulk, functional PBE-GGA.

a b c (Å): 5.7677 5.7677 5.7929
angles (deg): 90.00 90.00 90.00
Closest atoms and distances in Å follow each position.
Sites, in units of the cell vectors:
I 0.0000 0.0000 0.5000  2 Tl 2.90
Sb 0.0000 0.5000 0.0000  2 Tl 2.88
Sb 0.5000 0.0000 0.0000  2 Tl 2.88
Tl 0.0000 0.0000 0.0000  4 Sb 2.88, 2 I 2.90
Bi 0.5000 0.5000 0.5000  4 I 4.08, 8 Sb 4.09

Properties
E = -2.47 eV per atom
raw formation energy = 0.73 eV per atom
offset from the most stable computed form = 152 kJ/mol of formula units
magnetization = 0.0 Bohr magnetons per cell

=====

An optimized crystal structure of AlZn5Ag. Source: Alexandria via LeMat-Bulk, functional PBE-GGA.

a b c (Å): 6.3605 6.3605 9.5986
angles (deg): 60.91 60.91 45.26
Closest atoms and distances in Å follow each position.
Sites, in units of the cell vectors:
Al 0.2521 0.7479 0.2500  2 Zn 2.43-2.47, 2 Ag 2.70
Al 0.7479 0.2521 0.7500  2 Zn 2.43-2.47, 2 Ag 2.70
Zn 0.7537 0.7530 0.0578  6 Zn 2.60-2.91, 1 Ag 2.65, 1 Al 2.82
Zn 0.3536 0.3528 0.6209  4 Zn 2.60-2.91, 2 Ag 2.86-2.87, 1 Al 2.87
Zn 0.7530 0.7537 0.5578  6 Zn 2.60-2.91, 1 Ag 2.65, 1 Al 2.82
Zn 0.7479 0.2521 0.2500  2 Al 2.43-2.47, 2 Ag 2.70
Zn 0.6472 0.6464 0.8791  4 Zn 2.60-2.91, 2 Ag 2.86-2.87, 1 Al 2.87
Zn 0.3528 0.3536 0.1209  4 Zn 2.60-2.91, 2 Ag 2.86-2.87, 1 Al 2.87
Zn 0.2521 0.7479 0.7500  2 Al 2.43-2.47, 2 Ag 2.70
Zn 0.2470 0.2463 0.4422  6 Zn 2.60-2.91, 1 Ag 2.65, 1 Al 2.82
Zn 0.6464 0.6472 0.3791  4 Zn 2.60-2.91, 2 Ag 2.86-2.87, 1 Al 2.87
Zn 0.2463 0.2470 0.9422  6 Zn 2.60-2.91, 1 Ag 2.65, 1 Al 2.82
Ag 0.0000 0.0000 0.0000  8 Zn 2.65-2.87, 2 Al 2.70
Ag 0.0000 0.0000 0.5000  8 Zn 2.65-2.87, 2 Al 2.70

Properties
E = -1.77 eV per atom
offset from the most stable computed form = 20 kJ/mol of formula units
magnetization = 0.0 Bohr magnetons per cell
DFT formation energy = 0.083 eV per atom

=====

An optimized crystal structure of LaMg2Tl. Source: Alexandria via LeMat-Bulk, functional PBE-GGA.

a b c (Å): 4.6319 4.6319 11.8143
angles (deg): 78.70 78.70 90.00
Closest atoms and distances in Å follow each position.
Sites, in units of the cell vectors:
Tl 0.0000 0.0000 0.0000  4 Mg 3.23, 4 La 3.28
Tl 0.7500 0.2500 0.5000  4 Mg 3.23, 4 La 3.28
Mg 0.6567 0.1250 0.2500  2 Mg 3.07, 2 Tl 3.23, 2 La 3.33
Mg 0.0933 0.6250 0.2500  2 Mg 3.07, 2 Tl 3.23, 2 La 3.33
Mg 0.3750 0.3433 0.7500  2 Mg 3.07, 2 Tl 3.23, 2 La 3.33
Mg 0.8750 0.9067 0.7500  2 Mg 3.07, 2 Tl 3.23, 2 La 3.33
La 0.5000 0.5000 0.0000  4 Tl 3.28, 4 Mg 3.33
La 0.2500 0.7500 0.5000  4 Tl 3.28, 4 Mg 3.33

Properties
E = -2.58 eV per atom
offset from the most stable computed form = 104 kJ/mol of formula units
magnetization = 0.0 Bohr magnetons per cell
DFT formation energy = 0.045 eV per atom

=====

An optimized crystal structure of AcGaAu2. Source: Alexandria via LeMat-Bulk, functional PBE-GGA.

a b c (Å): 4.7400 7.5296 10.8453
angles (deg): 90.00 90.00 90.00
Closest atoms and distances in Å follow each position.
Sites, in units of the cell vectors:
Ac 0.7500 0.6679 0.6367  9 Au 3.29-3.49, 3 Ga 3.48-3.65
Ac 0.2500 0.8321 0.1367  9 Au 3.29-3.49, 3 Ga 3.48-3.65
Ac 0.2500 0.3321 0.3633  9 Au 3.29-3.49, 3 Ga 3.48-3.65
Ac 0.7500 0.1679 0.8633  9 Au 3.29-3.49, 3 Ga 3.48-3.65
Ga 0.7500 0.9659 0.3914  5 Au 2.58-2.79
Ga 0.2500 0.5341 0.8914  5 Au 2.58-2.79
Ga 0.2500 0.0341 0.6086  5 Au 2.58-2.79
Ga 0.7500 0.4659 0.1086  5 Au 2.58-2.79
Au 0.7500 0.2174 0.5613  3 Ga 2.64-2.79, 2 Au 2.95
Au 0.2500 0.2826 0.0613  3 Ga 2.64-2.79, 2 Au 2.95
Au 0.2500 0.7826 0.4387  3 Ga 2.64-2.79, 2 Au 2.95
Au 0.7500 0.7174 0.9387  3 Ga 2.64-2.79, 2 Au 2.95
Au 0.7500 0.6274 0.3181  2 Ga 2.58-2.67
Au 0.2500 0.8726 0.8181  2 Ga 2.58-2.67
Au 0.2500 0.3726 0.6819  2 Ga 2.58-2.67
Au 0.7500 0.1274 0.1819  2 Ga 2.58-2.67

Properties
E = -4.14 eV per atom
magnetization = 0.0 Bohr magnetons per cell
DFT formation energy = -0.720 eV per atom

=====

An optimized crystal structure of LiHN. Source: Alexandria via LeMat-Bulk, functional PBE-GGA.

a b c (Å): 3.6058 3.6056 3.8165
angles (deg): 102.68 102.65 105.78
Closest atoms and distances in Å follow each position.
Sites, in units of the cell vectors:
Li 0.6348 0.5740 0.9896  2 H 1.92-2.10, 1 N 2.03
Li 0.2722 0.2088 0.3298  2 H 1.92-2.10, 1 N 2.03
H 0.9268 0.3456 0.6169  1 N 1.04
H 0.5058 0.9208 0.7023  1 N 1.04
N 0.9074 0.5890 0.5188  1 H 1.04
N 0.2631 0.9430 0.8006  1 H 1.04

Properties
E = -4.70 eV per atom
offset from the most stable computed form = 29 kJ/mol of formula units
magnetization = 0.0 Bohr magnetons per cell

=====

An optimized crystal structure of ReGeSCl2. Source: Alexandria via LeMat-Bulk, functional PBE-GGA.

a b c (Å): 4.9234 4.9234 4.5049
angles (deg): 90.00 90.00 90.00
Closest atoms and distances in Å follow each position.
Sites, in units of the cell vectors:
Re 0.0000 0.0000 0.0000  2 S 2.25, 4 Cl 2.46
Ge 0.5000 0.5000 0.5000  8 Cl 3.34, 4 S 3.48
S 0.0000 0.0000 0.5000  2 Re 2.25
Cl 0.0000 0.5000 0.0000  2 Re 2.46
Cl 0.5000 0.0000 0.0000  2 Re 2.46

Properties
E = -4.58 eV per atom
raw formation energy = 0.39 eV per atom
offset from the most stable computed form = 0 kJ/mol of formula units
magnetization = 1.4 Bohr magnetons per cell

=====

An optimized crystal structure of VAg. Source: Alexandria via LeMat-Bulk, functional PBE-GGA.

a b c (Å): 8.2360 3.8744 8.0688
angles (deg): 90.00 90.00 90.00
Closest atoms and distances in Å follow each position.
Sites, in units of the cell vectors:
V 0.3995 0.2500 0.7811  3 V 2.44-2.64
V 0.8995 0.2500 0.7189  3 V 2.44-2.64
V 0.6005 0.7500 0.2189  3 V 2.44-2.64
V 0.1005 0.7500 0.2811  3 V 2.44-2.64
V 0.1070 0.2500 0.5033  5 V 2.44-2.64
V 0.6070 0.2500 0.9967  5 V 2.44-2.64
V 0.8930 0.7500 0.4967  5 V 2.44-2.64
V 0.3930 0.7500 0.0033  5 V 2.44-2.64
Ag 0.3578 0.2500 0.2548  4 Ag 2.77-2.93, 8 V 2.80-2.92
Ag 0.8578 0.2500 0.2452  4 Ag 2.77-2.93, 8 V 2.80-2.92
Ag 0.6422 0.7500 0.7452  4 Ag 2.77-2.93, 8 V 2.80-2.92
Ag 0.1422 0.7500 0.7548  4 Ag 2.77-2.93, 8 V 2.80-2.92
Ag 0.1263 0.2500 0.0061  6 Ag 2.77-2.93, 6 V 2.89-2.98
Ag 0.6263 0.2500 0.4939  6 Ag 2.77-2.93, 6 V 2.89-2.98
Ag 0.8737 0.7500 0.9939  6 Ag 2.77-2.93, 6 V 2.89-2.98
Ag 0.3737 0.7500 0.5061  6 Ag 2.77-2.93, 6 V 2.89-2.98

Properties
E = -5.62 eV per atom
magnetization = 4.9 Bohr magnetons per cell
DFT formation energy = 0.368 eV per atom

=====

An optimized crystal structure of BaMn2Zn. Source: Alexandria via LeMat-Bulk, functional PBE-GGA.

a b c (Å): 3.4275 3.4275 7.6344
angles (deg): 90.00 90.00 90.00
Closest atoms and distances in Å follow each position.
Sites, in units of the cell vectors:
Ba 0.5000 0.5000 0.7448  4 Ba 3.43, 4 Zn 3.48, 5 Mn 3.51-3.70
Mn 0.0000 0.0000 0.0773  1 Zn 2.60, 4 Mn 2.80
Mn 0.5000 0.5000 0.2607  4 Zn 2.70, 4 Mn 2.80
Zn 0.0000 0.0000 0.4172  5 Mn 2.60-2.70

Properties
E = -4.93 eV per atom
magnetization = 7.5 Bohr magnetons per cell
DFT formation energy = 0.456 eV per atom

=====

An optimized crystal structure of BiRu. Source: Alexandria via LeMat-Bulk, functional PBE-GGA.

a b c (Å): 3.1205 4.2593 7.7208
angles (deg): 88.98 89.56 68.50
Closest atoms and distances in Å follow each position.
Sites, in units of the cell vectors:
Bi 0.4263 0.5665 0.0265  3 Ru 2.84-2.88, 2 Bi 3.12
Bi 0.1580 0.0820 0.6181  4 Ru 2.86-2.96, 2 Bi 3.12
Ru 0.8641 0.6785 0.3834  3 Ru 2.43-2.58
Ru 0.1411 0.1300 0.2485  3 Ru 2.43-2.58

Properties
E = -6.20 eV per atom
magnetization = 0.0 Bohr magnetons per cell
DFT formation energy = 0.378 eV per atom

=====

An optimized crystal structure of MgHPd3. Source: Alexandria via LeMat-Bulk, functional PBE-GGA.

a b c (Å): 4.6327 4.6327 4.6327
angles (deg): 110.49 110.49 110.49
Closest atoms and distances in Å follow each position.
Sites, in units of the cell vectors:
H 0.8361 0.8361 0.8361  3 Pd 1.74
Mg 0.3669 0.3669 0.3669  1 H 2.06
Pd 0.7596 0.1527 0.7596  1 H 1.74
Pd 0.1527 0.7596 0.7596  1 H 1.74
Pd 0.7596 0.7596 0.1527  1 H 1.74

Properties
E = -4.26 eV per atom
offset from the most stable computed form = 149 kJ/mol of formula units
magnetization = 0.0 Bohr magnetons per cell

=====

An optimized crystal structure of CsKZn2I6. Source: Alexandria via LeMat-Bulk, functional PBE-GGA.

a b c (Å): 9.5419 9.5419 13.7746
angles (deg): 102.69 102.69 109.90
Closest atoms and distances in Å follow each position.
Sites, in units of the cell vectors:
Cs 0.1752 0.8248 0.2500  6 I 3.93-4.13, 2 Zn 4.35
Cs 0.8248 0.1752 0.7500  6 I 3.93-4.13, 2 Zn 4.35
K 0.7143 0.2857 0.2500  4 I 3.49-3.52
K 0.2857 0.7143 0.7500  4 I 3.49-3.52
Zn 0.3990 0.2581 0.6712  4 I 2.59-2.72
Zn 0.7419 0.6010 0.8288  4 I 2.59-2.72
Zn 0.6010 0.7419 0.3288  4 I 2.59-2.72
Zn 0.2581 0.3990 0.1712  4 I 2.59-2.72
I 0.9642 0.3519 0.0954  1 Zn 2.61
I 0.6481 0.0358 0.4046  1 Zn 2.61
I 0.0358 0.6481 0.9046  1 Zn 2.61
I 0.3519 0.9642 0.5954  1 Zn 2.61
I 0.3132 0.1501 0.1180  1 Zn 2.59
I 0.8499 0.6868 0.3820  1 Zn 2.59
I 0.6868 0.8499 0.8820  1 Zn 2.59
I 0.1501 0.3132 0.6180  1 Zn 2.59
I 0.3632 0.5514 0.3800  2 Zn 2.70-2.72
I 0.4486 0.6368 0.1200  2 Zn 2.70-2.72
I 0.6368 0.4486 0.6200  2 Zn 2.70-2.72
I 0.5514 0.3632 0.8800  2 Zn 2.70-2.72

Properties
E = -2.33 eV per atom
raw formation energy = -0.95 eV per atom
magnetization = 0.0 Bohr magnetons per cell

=====

An optimized crystal structure of BaPm3Co. Source: Alexandria via LeMat-Bulk, functional PBE-GGA.

a b c (Å): 5.5800 5.5800 5.5800
angles (deg): 90.00 90.00 90.00
Closest atoms and distances in Å follow each position.
Sites, in units of the cell vectors:
Co 0.0000 0.0000 0.0000  6 Pm 2.79
Ba 0.5000 0.5000 0.5000  12 Pm 3.95
Pm 0.0000 0.5000 0.0000  2 Co 2.79
Pm 0.0000 0.0000 0.5000  2 Co 2.79
Pm 0.5000 0.0000 0.0000  2 Co 2.79

Properties
E = -4.59 eV per atom
magnetization = 0.0 Bohr magnetons per cell
DFT formation energy = 0.070 eV per atom